Ba2InS2I2: relaxed, PBE-GGA.

Geometry as CIF:
```
data_Ba2InS2I2
_symmetry_space_group_name_H-M 'P 1'
_symmetry_Int_Tables_number 1
_cell_length_a 5.275
_cell_length_b 5.275
_cell_length_c 17.969
_cell_angle_alpha 90.00
_cell_angle_beta 90.00
_cell_angle_gamma 90.00
loop_
_symmetry_equiv_pos_as_xyz
'x,y,z'
loop_
_atom_site_label
_atom_site_type_symbol
_atom_site_fract_x
_atom_site_fract_y
_atom_site_fract_z
_atom_site_occupancy
Ba1 Ba 0.000 0.000 0.112 1
Ba2 Ba 0.000 0.000 0.888 1
Ba3 Ba 0.500 0.500 0.388 1
Ba4 Ba 0.500 0.500 0.612 1
In1 In 0.000 0.000 0.500 1
In2 In 0.500 0.500 0.000 1
S1 S 0.000 0.500 0.000 1
S2 S 0.000 0.500 0.500 1
S3 S 0.500 0.000 0.000 1
S4 S 0.500 0.000 0.500 1
I1 I 0.000 0.000 0.313 1
I2 I 0.000 0.000 0.687 1
I3 I 0.500 0.500 0.187 1
I4 I 0.500 0.500 0.813 1
```

Its raw total energy is -56.31 eV per cell. As for the raw formation energy: -1.459 eV/atom. Its total moment is 0.000 μB/atom. The calculation puts the density at 4.70 g/cm³. The calculation puts the density of states at the Fermi level at 0.2498 states/eV/atom.

=====

AcP3Pd3: relaxed, PBE-GGA.

Geometry as CIF:
```
data_AcP3Pd3
_symmetry_space_group_name_H-M 'P 1'
_symmetry_Int_Tables_number 1
_cell_length_a 6.601
_cell_length_b 6.601
_cell_length_c 6.601
_cell_angle_alpha 90.00
_cell_angle_beta 90.00
_cell_angle_gamma 90.00
loop_
_symmetry_equiv_pos_as_xyz
'x,y,z'
loop_
_atom_site_label
_atom_site_type_symbol
_atom_site_fract_x
_atom_site_fract_y
_atom_site_fract_z
_atom_site_occupancy
Ac1 Ac 0.000 0.000 0.000 1
Ac2 Ac 0.500 0.500 0.500 1
P1 P 0.000 0.250 0.500 1
P2 P 0.000 0.750 0.500 1
P3 P 0.250 0.500 0.000 1
P4 P 0.500 0.000 0.250 1
P5 P 0.500 0.000 0.750 1
P6 P 0.750 0.500 0.000 1
Pd1 Pd 0.000 0.500 0.250 1
Pd2 Pd 0.000 0.500 0.750 1
Pd3 Pd 0.250 0.000 0.500 1
Pd4 Pd 0.500 0.250 0.000 1
Pd5 Pd 0.500 0.750 0.000 1
Pd6 Pd 0.750 0.000 0.500 1
```

Its raw total energy is -80.79 eV per cell. The calculation puts the energy of formation from the pure elements at -432 kJ/mol of formula units. Its total moment is 0.000 μB/atom. The calculation puts the density at 7.38 g/cm³. The calculation puts the density of states at the Fermi level at 0.6240 states/eV/atom.

=====

Sc2PRu: relaxed, PBE-GGA.

Geometry as CIF:
```
data_Sc2PRu
_symmetry_space_group_name_H-M 'P 1'
_symmetry_Int_Tables_number 1
_cell_length_a 3.324
_cell_length_b 4.099
_cell_length_c 5.390
_cell_angle_alpha 90.00
_cell_angle_beta 90.00
_cell_angle_gamma 90.00
loop_
_symmetry_equiv_pos_as_xyz
'x,y,z'
loop_
_atom_site_label
_atom_site_type_symbol
_atom_site_fract_x
_atom_site_fract_y
_atom_site_fract_z
_atom_site_occupancy
Sc1 Sc 0.000 0.000 0.000 1
Sc2 Sc 0.500 0.500 0.368 1
P1 P 0.000 0.000 0.498 1
Ru1 Ru 0.500 0.500 0.898 1
```

Its raw total energy is -29.51 eV per cell. The calculation puts the energy of formation from the pure elements at -208 kJ/mol of formula units. Its total moment is 0.000 μB/atom. The calculation puts the density at 5.02 g/cm³. The calculation puts the density of states at the Fermi level at 0.6252 states/eV/atom.

=====

Mg2ZnS3: relaxed, PBE-GGA.

Geometry as CIF:
```
data_Mg2ZnS3
_symmetry_space_group_name_H-M 'P 1'
_symmetry_Int_Tables_number 1
_cell_length_a 6.881
_cell_length_b 6.881
_cell_length_c 6.865
_cell_angle_alpha 99.53
_cell_angle_beta 99.53
_cell_angle_gamma 120.10
loop_
_symmetry_equiv_pos_as_xyz
'x,y,z'
loop_
_atom_site_label
_atom_site_type_symbol
_atom_site_fract_x
_atom_site_fract_y
_atom_site_fract_z
_atom_site_occupancy
Mg1 Mg 0.083 0.917 0.500 1
Mg2 Mg 0.254 0.748 0.000 1
Mg3 Mg 0.748 0.254 0.500 1
Mg4 Mg 0.917 0.083 0.000 1
Zn1 Zn 0.420 0.584 0.501 1
Zn2 Zn 0.584 0.420 0.001 1
S1 S 0.135 0.624 0.621 1
S2 S 0.303 0.459 0.134 1
S3 S 0.459 0.303 0.634 1
S4 S 0.624 0.135 0.121 1
S5 S 0.783 0.952 0.621 1
S6 S 0.952 0.783 0.121 1
```

Its raw total energy is -48.17 eV per cell. As for the raw formation energy: -1.207 eV/atom. Its total moment is 0.000 μB/atom. The calculation puts the density at 2.63 g/cm³. The calculation puts the density of states at the Fermi level at 0.0000 states/eV/atom.

=====

Dy3NiRh: relaxed, PBE-GGA.

Geometry as CIF:
```
data_Dy3NiRh
_symmetry_space_group_name_H-M 'P 1'
_symmetry_Int_Tables_number 1
_cell_length_a 7.433
_cell_length_b 3.954
_cell_length_c 8.273
_cell_angle_alpha 90.00
_cell_angle_beta 108.72
_cell_angle_gamma 90.00
loop_
_symmetry_equiv_pos_as_xyz
'x,y,z'
loop_
_atom_site_label
_atom_site_type_symbol
_atom_site_fract_x
_atom_site_fract_y
_atom_site_fract_z
_atom_site_occupancy
Dy1 Dy 0.096 0.250 0.243 1
Dy2 Dy 0.306 0.250 0.933 1
Dy3 Dy 0.360 0.750 0.603 1
Dy4 Dy 0.640 0.250 0.397 1
Dy5 Dy 0.694 0.750 0.067 1
Dy6 Dy 0.904 0.750 0.757 1
Ni1 Ni 0.059 0.250 0.584 1
Ni2 Ni 0.941 0.750 0.416 1
Rh1 Rh 0.369 0.750 0.199 1
Rh2 Rh 0.631 0.250 0.801 1
```

Its raw total energy is -59.39 eV per cell. The calculation puts the energy of formation from the pure elements at -266 kJ/mol of formula units. Its total moment is 0.000 μB/atom. The calculation puts the density at 9.36 g/cm³. The calculation puts the density of states at the Fermi level at 0.7162 states/eV/atom.

=====

RbBaNaIn: relaxed, PBE-GGA.

Geometry as CIF:
```
data_RbBaNaIn
_symmetry_space_group_name_H-M 'P 1'
_symmetry_Int_Tables_number 1
_cell_length_a 8.929
_cell_length_b 8.929
_cell_length_c 8.929
_cell_angle_alpha 90.00
_cell_angle_beta 90.00
_cell_angle_gamma 90.00
loop_
_symmetry_equiv_pos_as_xyz
'x,y,z'
loop_
_atom_site_label
_atom_site_type_symbol
_atom_site_fract_x
_atom_site_fract_y
_atom_site_fract_z
_atom_site_occupancy
Rb1 Rb 0.000 0.000 0.000 1
Rb2 Rb 0.000 0.500 0.500 1
Rb3 Rb 0.500 0.000 0.500 1
Rb4 Rb 0.500 0.500 0.000 1
Ba1 Ba 0.000 0.000 0.500 1
Ba2 Ba 0.000 0.500 0.000 1
Ba3 Ba 0.500 0.000 0.000 1
Ba4 Ba 0.500 0.500 0.500 1
Na1 Na 0.250 0.250 0.250 1
Na2 Na 0.250 0.750 0.750 1
Na3 Na 0.750 0.250 0.750 1
Na4 Na 0.750 0.750 0.250 1
In1 In 0.250 0.250 0.750 1
In2 In 0.250 0.750 0.250 1
In3 In 0.750 0.250 0.250 1
In4 In 0.750 0.750 0.750 1
```

Its raw total energy is -27.90 eV per cell. The calculation puts the energy of formation from the pure elements at -3 kJ/mol of formula units. Its total moment is 0.008 μB/atom. The calculation puts the density at 3.36 g/cm³. The calculation puts the density of states at the Fermi level at 1.3845 states/eV/atom.

=====

Which value of raw total energy does entry 4 give? -48.17 eV per cell